This record from the Alexandria database describes crystalline TlBTe2 at its relaxed geometry. The functional is GGA-PBE.

CIF file:
```
data_TlBTe2
_chemical_formula_sum 'Tl4 B4 Te8'
_cell_length_a 7.4604
_cell_length_b 7.4604
_cell_length_c 7.4604
_cell_angle_alpha 90.00
_cell_angle_beta 90.00
_cell_angle_gamma 90.00
_symmetry_space_group_name_H-M 'F -4 3 m'
_symmetry_Int_Tables_number 216
_symmetry_space_group_name_Hall 'F -4 2 3'
loop_
_atom_site_label
_atom_site_fract_x
_atom_site_fract_y
_atom_site_fract_z
_atom_site_occupancy
Tl1 0.0000 0.0000 0.0000 1
B1 0.2500 0.2500 0.2500 1
Te1 0.0000 0.0000 0.5000 1
Te2 0.2500 0.2500 0.7500 1
```

## Properties
Magnetization (Bohr magnetons per cell): 0.00
Calculated density (Mg/m³): 7.5
E above lowest polymorph (meV/atom): 964

=====

This record from the Alexandria database describes crystalline Pr3Sm2Er8 at its relaxed geometry. The functional is GGA-PBE.

CIF file:
```
data_Pr3Sm2Er8
_chemical_formula_sum 'Pr3 Sm2 Er8'
_cell_length_a 6.1845
_cell_length_b 6.1977
_cell_length_c 11.2820
_cell_angle_alpha 89.85
_cell_angle_beta 79.38
_cell_angle_gamma 80.35
_symmetry_space_group_name_H-M 'P -1'
_symmetry_Int_Tables_number 2
_symmetry_space_group_name_Hall '-P 1'
loop_
_atom_site_label
_atom_site_fract_x
_atom_site_fract_y
_atom_site_fract_z
_atom_site_occupancy
Pr1 0.0000 0.0000 0.0000 1
Pr2 0.2309 0.4618 0.0791 1
Sm1 0.3846 0.7692 0.4621 1
Er1 0.0767 0.1525 0.6899 1
Er2 0.1534 0.3073 0.3860 1
Er3 0.3081 0.6136 0.7659 1
Er4 0.4632 0.9249 0.1570 1
```

## Properties
Magnetization (Bohr magnetons per cell): 0.00
Energy of formation from the pure elements (eV/f.u.): 0.3
Calculated density (Mg/m³): 8.2
E above lowest polymorph (meV/atom): 0

=====

This record from the Alexandria database describes crystalline SmBiAu at its relaxed geometry. The functional is GGA-PBE.

CIF file:
```
data_SmBiAu
_chemical_formula_sum 'Sm1 Bi1 Au1'
_cell_length_a 4.6835
_cell_length_b 4.6835
_cell_length_c 4.3693
_cell_angle_alpha 90.00
_cell_angle_beta 90.00
_cell_angle_gamma 120.00
_symmetry_space_group_name_H-M 'P 3 m 1'
_symmetry_Int_Tables_number 156
_symmetry_space_group_name_Hall 'P 3 -2"'
loop_
_atom_site_label
_atom_site_fract_x
_atom_site_fract_y
_atom_site_fract_z
_atom_site_occupancy
Sm1 0.0000 0.0000 0.0000 1
Bi1 0.6667 0.3333 0.5483 1
Au1 0.3333 0.6667 0.3163 1
```

## Properties
Magnetization (Bohr magnetons per cell): 0.00
Energy of formation from the pure elements (eV/f.u.): -2.0
Calculated density (Mg/m³): 11.1

=====

This record from the Alexandria database describes crystalline AgPRu2 at its relaxed geometry. The functional is GGA-PBE.

CIF file:
```
data_AgPRu2
_chemical_formula_sum 'Ag3 P3 Ru6'
_cell_length_a 2.8216
_cell_length_b 2.8216
_cell_length_c 26.1099
_cell_angle_alpha 90.00
_cell_angle_beta 90.00
_cell_angle_gamma 120.00
_symmetry_space_group_name_H-M 'R 3 m'
_symmetry_Int_Tables_number 160
_symmetry_space_group_name_Hall 'R 3 -2"'
loop_
_atom_site_label
_atom_site_fract_x
_atom_site_fract_y
_atom_site_fract_z
_atom_site_occupancy
Ag1 0.0000 0.0000 0.0000 1
P1 0.0000 0.0000 0.2406 1
Ru1 0.0000 0.0000 0.5086 1
Ru2 0.0000 0.0000 0.7585 1
```

## Properties
Magnetization (Bohr magnetons per cell): 0.00
Energy of formation from the pure elements (eV/f.u.): 0.7
Calculated density (Mg/m³): 9.4
E above lowest polymorph (meV/atom): 190

=====

This record from the Alexandria database describes crystalline ScIn4Pd7 at its relaxed geometry. The functional is GGA-PBE.

CIF file:
```
data_ScIn4Pd7
_chemical_formula_sum 'Sc2 In8 Pd14'
_cell_length_a 11.0461
_cell_length_b 4.8651
_cell_length_c 9.8727
_cell_angle_alpha 90.00
_cell_angle_beta 120.74
_cell_angle_gamma 90.00
_symmetry_space_group_name_H-M 'C 1 2/m 1'
_symmetry_Int_Tables_number 12
_symmetry_space_group_name_Hall '-C 2y'
loop_
_atom_site_label
_atom_site_fract_x
_atom_site_fract_y
_atom_site_fract_z
_atom_site_occupancy
Sc1 0.0000 0.0000 0.0000 1
In1 0.0900 0.5000 0.7744 1
In2 0.2437 0.5000 0.3322 1
Pd1 0.0000 0.5000 0.0000 1
Pd2 0.0706 0.0000 0.3185 1
Pd3 0.1376 0.5000 0.5276 1
Pd4 0.2150 0.0000 0.9114 1
```

## Properties
Magnetization (Bohr magnetons per cell): 0.00
Energy of formation from the pure elements (eV/f.u.): -5.3
Calculated density (Mg/m³): 9.1

=====

This record from the Alexandria database describes crystalline Nd2PuUSb4 at its relaxed geometry. The functional is GGA-PBE.

CIF file:
```
data_Nd2PuUSb4
_chemical_formula_sum 'Nd2 Pu1 U1 Sb4'
_cell_length_a 7.6873
_cell_length_b 4.4407
_cell_length_c 7.7986
_cell_angle_alpha 90.00
_cell_angle_beta 109.16
_cell_angle_gamma 90.00
_symmetry_space_group_name_H-M 'P 1 2/m 1'
_symmetry_Int_Tables_number 10
_symmetry_space_group_name_Hall '-P 2y'
loop_
_atom_site_label
_atom_site_fract_x
_atom_site_fract_y
_atom_site_fract_z
_atom_site_occupancy
Nd1 0.0000 0.0000 0.0000 1
Nd2 0.5000 0.5000 0.0000 1
Pu1 0.0000 0.5000 0.5000 1
U1 0.5000 0.0000 0.5000 1
Sb1 0.2496 0.0000 0.7413 1
Sb2 0.2549 0.5000 0.2585 1
```

## Properties
Magnetization (Bohr magnetons per cell): 7.77
Final energy (eV for the cell shown): -57.97
Calculated density (Mg/m³): 8.3

=====

This record from the Alexandria database describes crystalline Os3Pt at its relaxed geometry. The functional is GGA-PBE.

CIF file:
```
data_Os3Pt
_chemical_formula_sum 'Os6 Pt2'
_cell_length_a 4.3989
_cell_length_b 5.5142
_cell_length_c 4.8054
_cell_angle_alpha 90.00
_cell_angle_beta 90.00
_cell_angle_gamma 90.00
_symmetry_space_group_name_H-M 'P m m n'
_symmetry_Int_Tables_number 59
loop_
_symmetry_equiv_pos_as_xyz
'x,y,z'
'-x,-y,-z'
'-x+1/2,-y+1/2,z'
'x+1/2,y+1/2,-z'
'x+1/2,-y,-z'
'-x+1/2,y,z'
'-x,y+1/2,-z'
'x,-y+1/2,z'
loop_
_atom_site_label
_atom_site_fract_x
_atom_site_fract_y
_atom_site_fract_z
_atom_site_occupancy
Os1 0.2500 0.0041 0.1643 1
Os2 0.2500 0.2500 0.6707 1
Pt1 0.2500 0.7500 0.6596 1
```

## Properties
Magnetization (Bohr magnetons per cell): 0.00
Energy of formation from the pure elements (eV/f.u.): 0.5
Calculated density (Mg/m³): 21.8

=====

This record from the Alexandria database describes crystalline Dy2LuSb at its relaxed geometry. The functional is GGA-PBE.

CIF file:
```
data_Dy2LuSb
_chemical_formula_sum 'Dy6 Lu3 Sb3'
_cell_length_a 3.9473
_cell_length_b 3.9473
_cell_length_c 28.6795
_cell_angle_alpha 90.00
_cell_angle_beta 90.00
_cell_angle_gamma 120.00
_symmetry_space_group_name_H-M 'R -3 m'
_symmetry_Int_Tables_number 166
_symmetry_space_group_name_Hall '-R 3 2"'
loop_
_atom_site_label
_atom_site_fract_x
_atom_site_fract_y
_atom_site_fract_z
_atom_site_occupancy
Dy1 0.0000 0.0000 0.2350 1
Lu1 0.0000 0.0000 0.0000 1
Sb1 0.0000 0.0000 0.5000 1
```

## Properties
Magnetization (Bohr magnetons per cell): 2.70
Calculated density (Mg/m³): 8.0
E above lowest polymorph (meV/atom): 228